Entry 1:
Below is crystalline BaAcZnAs at its relaxed geometry, with properties calculated at the PBE level.

Cell lengths 5.578, 5.578, 5.578 Å; angles 60.00, 60.00, 60.00 degrees
Fractional coordinates of all 4 atoms:
Ba: 0.000 0.000 0.000
Ac: 0.500 0.500 0.500
Zn: 0.250 0.250 0.250
As: 0.750 0.750 0.750

Results
- formation energy (eV/atom) = -0.523
- D(E_F) (states/eV/cell) = 4.58
- total moment (μB per formula unit) = 0.00
- ρ (g/cm3) = 6.830

=====

Entry 2:
Below is crystalline TbPmPa4 at its relaxed geometry, with properties calculated at the PBE level.

Cell lengths 6.170, 6.170, 6.170 Å; angles 60.00, 60.00, 60.00 degrees
Fractional coordinates of all 6 atoms:
Tb: 0.000 0.000 0.000
Pm: 0.750 0.750 0.750
Pa: 0.375 0.375 0.375
Pa: 0.375 0.375 0.875
Pa: 0.375 0.875 0.375
Pa: 0.875 0.375 0.375

Results
- formation energy (eV/atom) = 0.238
- D(E_F) (states/eV/cell) = 15.47
- total moment (μB per formula unit) = 0.00
- ρ (g/cm3) = 12.276

=====

Entry 3:
Below is crystalline ZnS3Cl at its relaxed geometry, with properties calculated at the PBE level.

Cell lengths 6.715, 6.487, 7.973 Å; angles 90.00, 90.90, 90.00 degrees
Fractional coordinates of all 10 atoms:
Zn: 0.244 0.000 0.230
Zn: 0.756 0.500 0.770
S: 0.024 0.285 0.814
S: 0.257 0.476 0.783
S: 0.491 0.285 0.817
S: 0.509 0.785 0.183
S: 0.743 0.976 0.217
S: 0.976 0.785 0.186
Cl: 0.246 0.316 0.311
Cl: 0.754 0.816 0.689

Results
- raw formation energy (kcal/mol of atoms) = -6.5
- energy above the lowest structure with this stoichiometry (eV per atom) = 0.000
- D(E_F) (states/eV/cell) = 2.13
- total moment (μB per formula unit) = 1.01
- ρ (g/cm3) = 1.885

=====

Entry 4:
Below is crystalline Sr2Ir2O at its relaxed geometry, with properties calculated at the PBE level.

Cell lengths 5.330, 5.330, 5.330 Å; angles 112.38, 112.38, 103.80 degrees
Fractional coordinates of all 5 atoms:
Sr: 0.250 0.750 0.500
Sr: 0.750 0.250 0.500
Ir: 0.189 0.189 0.000
Ir: 0.811 0.811 0.000
O: 0.500 0.500 0.000

Results
- raw formation energy (kcal/mol of atoms) = -4.9
- energy above the lowest structure with this stoichiometry (eV per atom) = 0.000
- D(E_F) (states/eV/cell) = 3.00
- total moment (μB per formula unit) = 0.00
- ρ (g/cm3) = 8.262

=====

Entry 5:
Below is crystalline Cs2PtClF6 at its relaxed geometry, with properties calculated at the PBE level.

Cell lengths 6.858, 6.858, 6.858 Å; angles 120.87, 120.87, 88.51 degrees
Fractional coordinates of all 10 atoms:
Cs: 0.250 0.750 0.500
Cs: 0.750 0.250 0.500
Pt: 0.000 0.000 0.000
Cl: 0.500 0.500 0.000
F: 0.200 0.200 0.000
F: 0.206 0.206 0.412
F: 0.206 0.794 0.000
F: 0.794 0.206 0.000
F: 0.794 0.794 0.588
F: 0.800 0.800 0.000

Results
- raw formation energy (kcal/mol of atoms) = -41.7
- D(E_F) (states/eV/cell) = 5.68
- total moment (μB per formula unit) = 1.00
- ρ (g/cm3) = 4.503

=====

Entry 6:
Below is crystalline Mg4In5Hg2 at its relaxed geometry, with properties calculated at the PBE level.

Cell lengths 8.213, 3.269, 9.836 Å; angles 90.00, 96.93, 90.00 degrees
Fractional coordinates of all 11 atoms:
Mg: 0.199 0.000 0.378
Mg: 0.239 0.000 0.928
Mg: 0.761 0.000 0.072
Mg: 0.801 0.000 0.622
In: 0.159 0.500 0.643
In: 0.471 0.500 0.175
In: 0.500 0.500 0.500
In: 0.529 0.500 0.825
In: 0.841 0.500 0.357
Hg: 0.089 0.500 0.141
Hg: 0.911 0.500 0.859

Results
- formation energy (eV/atom) = -0.090
- D(E_F) (states/eV/cell) = 3.12
- total moment (μB per formula unit) = 0.00
- ρ (g/cm3) = 6.793

=====

Entry 7:
Below is crystalline TiCu2Ni at its relaxed geometry, with properties calculated at the PBE level.

Cell lengths 5.166, 3.791, 5.640 Å; angles 90.00, 112.33, 90.00 degrees
Fractional coordinates of all 8 atoms:
Ti: 0.222 0.250 0.124
Ti: 0.778 0.750 0.876
Cu: 0.075 0.750 0.389
Cu: 0.426 0.250 0.631
Cu: 0.574 0.750 0.369
Cu: 0.925 0.250 0.611
Ni: 0.287 0.750 0.881
Ni: 0.713 0.250 0.119

Results
- formation energy (eV/atom) = -0.147
- D(E_F) (states/eV/cell) = 5.06
- total moment (μB per formula unit) = 0.00
- ρ (g/cm3) = 7.594

=====

Entry 8:
Below is crystalline Mg4ZrOs at its relaxed geometry, with properties calculated at the PBE level.

Cell lengths 5.400, 5.400, 5.400 Å; angles 60.00, 60.00, 60.00 degrees
Fractional coordinates of all 6 atoms:
Mg: 0.124 0.124 0.124
Mg: 0.124 0.124 0.627
Mg: 0.124 0.627 0.124
Mg: 0.627 0.124 0.124
Zr: 0.500 0.500 0.500
Os: 0.750 0.750 0.750

Results
- formation energy (eV/atom) = 0.301
- D(E_F) (states/eV/cell) = 0.59
- total moment (μB per formula unit) = 0.00
- ρ (g/cm3) = 5.648

=====

Entry 9:
Below is crystalline BeB3N3 at its relaxed geometry, with properties calculated at the PBE level.

Cell lengths 4.591, 4.591, 4.591 Å; angles 90.00, 90.00, 90.00 degrees
Fractional coordinates of all 14 atoms:
Be: 0.000 0.000 0.000
Be: 0.500 0.500 0.500
B: 0.000 0.250 0.500
B: 0.000 0.750 0.500
B: 0.250 0.500 0.000
B: 0.500 0.000 0.250
B: 0.500 0.000 0.750
B: 0.750 0.500 0.000
N: 0.000 0.500 0.250
N: 0.000 0.500 0.750
N: 0.250 0.000 0.500
N: 0.500 0.250 0.000
N: 0.500 0.750 0.000
N: 0.750 0.000 0.500

Results
- raw formation energy (kcal/mol of atoms) = 2.9
- D(E_F) (states/eV/cell) = 2.30
- total moment (μB per formula unit) = 0.00
- ρ (g/cm3) = 2.865

=====

Entry 10:
Below is crystalline Ac2Ge2Sb at its relaxed geometry, with properties calculated at the PBE level.

Cell lengths 7.834, 7.834, 4.486 Å; angles 90.06, 90.06, 31.97 degrees
Fractional coordinates of all 5 atoms:
Ac: 0.130 0.130 0.000
Ac: 0.870 0.870 0.000
Ge: 0.299 0.299 0.500
Ge: 0.701 0.701 0.500
Sb: 0.500 0.500 0.500

Results
- raw formation energy (kcal/mol of atoms) = -18.1
- D(E_F) (states/eV/cell) = 2.18
- total moment (μB per formula unit) = 0.00
- ρ (g/cm3) = 8.214

=====

Entry 11:
Below is crystalline Li2SiPt at its relaxed geometry, with properties calculated at the PBE level.

Cell lengths 3.609, 3.609, 4.154 Å; angles 90.00, 90.00, 90.00 degrees
Fractional coordinates of all 4 atoms:
Li: 0.000 0.500 0.000
Li: 0.500 0.000 0.000
Si: 0.000 0.000 0.500
Pt: 0.500 0.500 0.500

Results
- raw formation energy (kcal/mol of atoms) = -12.6
- D(E_F) (states/eV/cell) = 1.08
- total moment (μB per formula unit) = 0.00
- ρ (g/cm3) = 7.277

=====

Entry 12:
Below is crystalline ZnTeCN2 at its relaxed geometry, with properties calculated at the PBE level.

Cell lengths 3.714, 3.714, 4.625 Å; angles 90.00, 90.00, 90.00 degrees
Fractional coordinates of all 5 atoms:
Zn: 0.000 0.000 0.000
Te: 0.500 0.500 0.000
C: 0.500 0.500 0.500
N: 0.000 0.500 0.500
N: 0.500 0.000 0.500

Results
- raw formation energy (kcal/mol of atoms) = 52.5
- energy above the lowest structure with this stoichiometry (eV per atom) = 0.000
- D(E_F) (states/eV/cell) = 3.34
- total moment (μB per formula unit) = 1.16
- ρ (g/cm3) = 6.064